Material: Ce2PuGa6
Method: DFT, PBE
State: optimized geometry

Cell: 7.8354 7.8354 3.5582 Å, 90.00 90.00 120.00°
Positions (direct):
Ce 0.3333 0.6667 0.0000
Ce 0.6667 0.3333 0.0000
Pu 0.0000 0.0000 0.0000
Ga 0.0000 0.3331 0.5000
Ga 0.0000 0.6669 0.5000
Ga 0.3331 0.0000 0.5000
Ga 0.3331 0.3331 0.5000
Ga 0.6669 0.0000 0.5000
Ga 0.6669 0.6669 0.5000

Computed properties:
Size of the total moment in μB per formula unit: 6.2
Relative energy among the computed polymorphs in eV per atom: 0.0000
Raw total energy in eV for the cell shown: -48.78
Energy of formation from the pure elements in eV per formula unit: -4.4